# 1
{
  "formula": "CaAl",
  "functional": "PBEsol",
  "state": "relaxed",
  "cell": [[4.963, 0.000, 0.000], [0.000, 3.599, 0.000], [0.000, 0.000, 5.441]],
  "species": ["Ca", "Ca", "Al", "Al"],
  "frac_coords": [[0.250, 0.000, 0.197], [0.750, 0.000, 0.803], [0.250, 0.500, 0.666], [0.750, 0.500, 0.334]],
  "e_form_mev_per_atom": -205,
  "sg": "No. 51",
  "n_ef_per_ev_cell": 1.8
}

=====

# 2
{
  "formula": "CaAl3",
  "functional": "PBEsol",
  "state": "relaxed",
  "cell": [[4.374, 0.000, 0.000], [0.000, 5.864, 0.000], [0.000, 0.000, 6.506]],
  "species": ["Ca", "Ca", "Al", "Al", "Al", "Al", "Al", "Al"],
  "frac_coords": [[0.250, 0.250, 0.088], [0.750, 0.750, 0.912], [0.250, 0.508, 0.633], [0.250, 0.750, 0.269], [0.250, 0.992, 0.633], [0.750, 0.008, 0.367], [0.750, 0.250, 0.731], [0.750, 0.492, 0.367]],
  "e_form_mev_per_atom": -194,
  "sg": "No. 59",
  "n_ef_per_ev_cell": 3.2
}

=====

# 3
{
  "formula": "CaAl5",
  "functional": "PBEsol",
  "state": "relaxed",
  "cell": [[2.115, -6.214, 0.000], [2.115, 6.214, 0.000], [0.000, 0.000, 4.220]],
  "species": ["Ca", "Al", "Al", "Al", "Al", "Al"],
  "frac_coords": [[0.000, 0.000, 0.000], [0.173, 0.827, 0.500], [0.323, 0.677, 0.000], [0.500, 0.500, 0.500], [0.677, 0.323, 0.000], [0.827, 0.173, 0.500]],
  "e_form_mev_per_atom": -78,
  "sg": "No. 65",
  "n_ef_per_ev_cell": 2.7
}

=====

# 4
{
  "formula": "Ca2Al3",
  "functional": "PBEsol",
  "state": "relaxed",
  "cell": [[0.000, 7.833, 3.024], [5.034, 0.000, 3.024], [5.034, 7.833, 0.000]],
  "species": ["Ca", "Ca", "Ca", "Ca", "Al", "Al", "Al", "Al", "Al", "Al"],
  "frac_coords": [[0.221, 0.779, 0.379], [0.629, 0.871, 0.471], [0.779, 0.221, 0.621], [0.871, 0.629, 0.029], [0.193, 0.796, 0.053], [0.197, 0.292, 0.057], [0.284, 0.284, 0.716], [0.292, 0.197, 0.454], [0.534, 0.534, 0.966], [0.796, 0.193, 0.958]],
  "e_form_mev_per_atom": -245,
  "sg": "No. 43",
  "n_ef_per_ev_cell": 5.0
}

=====

# 5
{
  "formula": "CaAl",
  "functional": "PBEsol",
  "state": "relaxed",
  "cell": [[2.273, 1.312, 6.204], [-2.273, 1.312, 6.204], [0.000, -2.625, 6.204]],
  "species": ["Ca", "Ca", "Al", "Al"],
  "frac_coords": [[0.100, 0.100, 0.100], [0.900, 0.900, 0.900], [0.320, 0.320, 0.320], [0.680, 0.680, 0.680]],
  "e_form_mev_per_atom": -142,
  "sg": "No. 166",
  "n_ef_per_ev_cell": 2.4
}

=====

# 6
{
  "formula": "Ca3Al",
  "functional": "PBEsol",
  "state": "relaxed",
  "cell": [[7.184, 0.000, 0.000], [0.000, 16.710, 0.000], [0.000, 0.000, 6.039]],
  "species": ["Ca", "Ca", "Ca", "Ca", "Ca", "Ca", "Ca", "Ca", "Ca", "Ca", "Ca", "Ca", "Ca", "Ca", "Ca", "Ca", "Ca", "Ca", "Al", "Al", "Al", "Al", "Al", "Al"],
  "frac_coords": [[0.000, 0.083, 0.172], [0.000, 0.250, 0.826], [0.000, 0.417, 0.172], [0.000, 0.583, 0.828], [0.000, 0.750, 0.174], [0.000, 0.917, 0.828], [0.250, 0.083, 0.635], [0.250, 0.417, 0.635], [0.250, 0.750, 0.637], [0.500, 0.083, 0.172], [0.500, 0.250, 0.826], [0.500, 0.417, 0.172], [0.500, 0.583, 0.828], [0.500, 0.750, 0.174], [0.500, 0.917, 0.828], [0.750, 0.250, 0.363], [0.750, 0.583, 0.365], [0.750, 0.917, 0.365], [0.250, 0.250, 0.303], [0.250, 0.583, 0.304], [0.250, 0.917, 0.304], [0.750, 0.083, 0.696], [0.750, 0.417, 0.696], [0.750, 0.750, 0.697]],
  "e_form_mev_per_atom": -68,
  "sg": "No. 59",
  "n_ef_per_ev_cell": 16.2
}

=====

# 7
{
  "formula": "CaAl5",
  "functional": "PBEsol",
  "state": "relaxed",
  "cell": [[5.541, 0.000, 0.000], [-2.770, 4.799, 0.000], [0.000, 0.000, 4.413]],
  "species": ["Ca", "Al", "Al", "Al", "Al", "Al"],
  "frac_coords": [[0.000, 0.000, 0.000], [0.000, 0.500, 0.500], [0.333, 0.667, 0.000], [0.500, 0.000, 0.500], [0.500, 0.500, 0.500], [0.667, 0.333, 0.000]],
  "e_form_mev_per_atom": -115,
  "sg": "No. 191",
  "n_ef_per_ev_cell": 2.4
}

=====

# 8
{
  "formula": "CaAl2Cl",
  "functional": "PBEsol",
  "state": "relaxed",
  "cell": [[-1.920, 1.920, 12.878], [1.920, -1.920, 12.878], [1.920, 1.920, -12.878]],
  "species": ["Ca", "Ca", "Al", "Al", "Al", "Al", "Cl", "Cl"],
  "frac_coords": [[0.000, 0.000, 0.000], [0.750, 0.250, 0.500], [0.115, 0.625, 0.990], [0.375, 0.365, 0.490], [0.635, 0.125, 0.010], [0.875, 0.885, 0.510], [0.250, 0.750, 0.500], [0.500, 0.500, 0.000]],
  "raw_formation_energy_mev_per_atom": -529,
  "sg": "No. 122",
  "relative_energy_kj_per_mol_atoms": 4.0,
  "n_ef_per_ev_cell": 3.3
}

=====

# 9
{
  "formula": "CaAlCl2",
  "functional": "PBEsol",
  "state": "relaxed",
  "cell": [[0.000, 3.602, 3.602], [3.602, 0.000, 3.602], [3.602, 3.602, 0.000]],
  "species": ["Ca", "Al", "Cl", "Cl"],
  "frac_coords": [[0.000, 0.000, 0.000], [0.250, 0.250, 0.250], [0.500, 0.500, 0.500], [0.750, 0.750, 0.750]],
  "raw_formation_energy_mev_per_atom": -600,
  "sg": "No. 216",
  "relative_energy_kj_per_mol_atoms": 45.0,
  "n_ef_per_ev_cell": 2.7
}

=====

# 10
{
  "formula": "CaAlCl2",
  "functional": "PBEsol",
  "state": "relaxed",
  "cell": [[-2.376, 2.376, 3.957], [2.376, -2.376, 3.957], [2.376, 2.376, -3.957]],
  "species": ["Ca", "Al", "Cl", "Cl"],
  "frac_coords": [[0.000, 0.000, 0.000], [0.500, 0.500, 0.000], [0.250, 0.750, 0.500], [0.750, 0.250, 0.500]],
  "raw_formation_energy_mev_per_atom": -944,
  "sg": "No. 139",
  "relative_energy_kj_per_mol_atoms": 11.8,
  "n_ef_per_ev_cell": 2.1
}

=====

# 11
{
  "formula": "Ca2AlCl",
  "functional": "PBEsol",
  "state": "relaxed",
  "cell": [[4.110, 0.000, 0.000], [0.000, 4.346, 0.000], [0.000, 0.000, 6.132]],
  "species": ["Ca", "Ca", "Al", "Cl"],
  "frac_coords": [[0.000, 0.000, 0.000], [0.500, 0.500, 0.500], [0.000, 0.000, 0.500], [0.500, 0.500, 0.000]],
  "raw_formation_energy_mev_per_atom": -782,
  "sg": "No. 47",
  "relative_energy_kj_per_mol_atoms": 14.7,
  "n_ef_per_ev_cell": 2.3
}

=====

# 12
{
  "formula": "Ca2AlCl",
  "functional": "PBEsol",
  "state": "relaxed",
  "cell": [[3.766, 0.000, 0.000], [0.000, 3.527, 0.000], [-0.013, 0.000, 8.166]],
  "species": ["Ca", "Ca", "Al", "Cl"],
  "frac_coords": [[0.001, 0.000, 0.231], [0.999, 0.000, 0.769], [0.500, 0.500, 0.000], [0.000, 0.500, 0.500]],
  "raw_formation_energy_mev_per_atom": -934,
  "sg": "No. 10",
  "relative_energy_kj_per_mol_atoms": 0.0,
  "n_ef_per_ev_cell": 1.6
}

=====

# 13
{
  "formula": "CaAlCl2",
  "functional": "PBEsol",
  "state": "relaxed",
  "cell": [[3.400, 0.000, 0.000], [0.000, 3.400, 0.000], [0.000, 0.000, 7.913]],
  "species": ["Ca", "Al", "Cl", "Cl"],
  "frac_coords": [[0.000, 0.000, 0.000], [0.500, 0.500, 0.714], [0.000, 0.000, 0.521], [0.500, 0.500, 0.168]],
  "raw_formation_energy_mev_per_atom": -1067,
  "sg": "No. 99",
  "relative_energy_kj_per_mol_atoms": 0.0,
  "n_ef_per_ev_cell": 2.0
}

=====

# 14
{
  "formula": "CaAl2Cl",
  "functional": "PBEsol",
  "state": "relaxed",
  "cell": [[1.849, -2.627, 0.000], [1.849, 2.627, 0.000], [0.000, 0.000, 9.051]],
  "species": ["Ca", "Al", "Al", "Cl"],
  "frac_coords": [[0.000, 0.000, 0.000], [0.500, 0.500, 0.270], [0.500, 0.500, 0.730], [0.000, 0.000, 0.500]],
  "raw_formation_energy_mev_per_atom": -70,
  "sg": "No. 65",
  "relative_energy_kj_per_mol_atoms": 48.3,
  "n_ef_per_ev_cell": 1.3
}

=====

# 15
{
  "formula": "CaAl2Cl",
  "functional": "PBEsol",
  "state": "relaxed",
  "cell": [[6.273, -1.677, 0.000], [6.273, 1.677, 0.000], [-0.229, 0.000, 4.283]],
  "species": ["Ca", "Al", "Al", "Cl"],
  "frac_coords": [[0.000, 0.000, 0.000], [0.263, 0.263, 0.761], [0.737, 0.737, 0.239], [0.500, 0.500, 0.500]],
  "raw_formation_energy_mev_per_atom": -566,
  "sg": "No. 12",
  "relative_energy_kj_per_mol_atoms": 0.4,
  "n_ef_per_ev_cell": 1.6
}

=====

# 16
{
  "formula": "CaAl2Cl",
  "functional": "PBEsol",
  "state": "relaxed",
  "cell": [[2.712, -5.089, 0.000], [2.712, 5.089, 0.000], [0.000, 0.000, 3.328]],
  "species": ["Ca", "Al", "Al", "Cl"],
  "frac_coords": [[0.000, 0.000, 0.000], [0.000, 0.500, 0.500], [0.500, 0.000, 0.500], [0.500, 0.500, 0.000]],
  "raw_formation_energy_mev_per_atom": -243,
  "sg": "No. 65",
  "relative_energy_kj_per_mol_atoms": 31.6,
  "n_ef_per_ev_cell": 2.5
}

=====

# 17
{
  "formula": "CaAl2Cl",
  "functional": "PBEsol",
  "state": "relaxed",
  "cell": [[4.296, 0.000, 0.000], [0.000, 6.263, 0.000], [0.000, 0.000, 3.335]],
  "species": ["Ca", "Al", "Al", "Cl"],
  "frac_coords": [[0.000, 0.000, 0.000], [0.000, 0.500, 0.496], [0.500, 0.500, 0.997], [0.500, 0.000, 0.500]],
  "raw_formation_energy_mev_per_atom": -570,
  "sg": "No. 25",
  "relative_energy_kj_per_mol_atoms": 0.0,
  "n_ef_per_ev_cell": 1.4
}

=====

# 18
{
  "formula": "Ca2AlH10ClO8",
  "functional": "PBEsol",
  "state": "relaxed",
  "cell": [[4.873, -2.862, 0.000], [4.873, 2.862, 0.000], [-3.635, 0.000, 15.463]],
  "species": ["Ca", "Ca", "Ca", "Ca", "Al", "Al", "H", "H", "H", "H", "H", "H", "H", "H", "H", "H", "H", "H", "H", "H", "H", "H", "H", "H", "H", "H", "Cl", "Cl", "O", "O", "O", "O", "O", "O", "O", "O", "O", "O", "O", "O", "O", "O", "O", "O"],
  "frac_coords": [[0.214, 0.786, 0.500], [0.480, 0.913, 0.077], [0.786, 0.214, 0.000], [0.913, 0.480, 0.577], [0.134, 0.564, 0.039], [0.564, 0.134, 0.539], [0.042, 0.393, 0.161], [0.071, 0.606, 0.314], [0.074, 0.887, 0.313], [0.084, 0.614, 0.765], [0.171, 0.292, 0.416], [0.245, 0.723, 0.919], [0.292, 0.171, 0.916], [0.393, 0.042, 0.661], [0.470, 0.526, 0.661], [0.526, 0.470, 0.161], [0.606, 0.071, 0.814], [0.614, 0.084, 0.265], [0.619, 0.798, 0.263], [0.652, 0.738, 0.416], [0.723, 0.245, 0.419], [0.738, 0.652, 0.916], [0.798, 0.619, 0.763], [0.887, 0.074, 0.813], [0.964, 0.980, 0.659], [0.980, 0.964, 0.159], [0.347, 0.846, 0.789], [0.846, 0.347, 0.289], [0.099, 0.333, 0.103], [0.161, 0.719, 0.341], [0.169, 0.793, 0.974], [0.231, 0.358, 0.473], [0.333, 0.099, 0.603], [0.358, 0.231, 0.973], [0.469, 0.528, 0.103], [0.527, 0.969, 0.236], [0.528, 0.469, 0.603], [0.600, 0.796, 0.475], [0.719, 0.161, 0.841], [0.793, 0.169, 0.474], [0.796, 0.600, 0.975], [0.897, 0.908, 0.604], [0.908, 0.897, 0.104], [0.969, 0.527, 0.736]],
  "total_energy_ev_per_cell": -244.58,
  "sg": "No. 9",
  "n_ef_per_ev_cell": 0.0
}

=====

# 19
{
  "formula": "Ca2AlH10ClO8",
  "functional": "PBEsol",
  "state": "relaxed",
  "cell": [[4.993, -2.795, 0.000], [4.993, 2.795, 0.000], [-2.523, 0.000, 15.430]],
  "species": ["Ca", "Ca", "Ca", "Ca", "Al", "Al", "H", "H", "H", "H", "H", "H", "H", "H", "H", "H", "H", "H", "H", "H", "H", "H", "H", "H", "H", "H", "Cl", "Cl", "O", "O", "O", "O", "O", "O", "O", "O", "O", "O", "O", "O", "O", "O", "O", "O"],
  "frac_coords": [[0.156, 0.660, 0.961], [0.340, 0.844, 0.539], [0.660, 0.156, 0.461], [0.844, 0.340, 0.039], [0.000, 0.500, 0.500], [0.500, 0.000, 0.000], [0.005, 0.785, 0.774], [0.110, 0.129, 0.880], [0.129, 0.110, 0.380], [0.173, 0.608, 0.377], [0.215, 0.995, 0.726], [0.293, 0.502, 0.776], [0.312, 0.384, 0.123], [0.384, 0.312, 0.623], [0.392, 0.827, 0.123], [0.498, 0.707, 0.724], [0.502, 0.293, 0.276], [0.608, 0.173, 0.877], [0.616, 0.688, 0.377], [0.688, 0.616, 0.877], [0.707, 0.498, 0.224], [0.785, 0.005, 0.274], [0.827, 0.392, 0.623], [0.871, 0.890, 0.620], [0.890, 0.871, 0.120], [0.995, 0.215, 0.226], [0.252, 0.748, 0.250], [0.748, 0.252, 0.750], [0.042, 0.174, 0.434], [0.115, 0.610, 0.802], [0.174, 0.042, 0.934], [0.232, 0.544, 0.435], [0.259, 0.333, 0.064], [0.333, 0.259, 0.564], [0.390, 0.885, 0.698], [0.456, 0.768, 0.065], [0.544, 0.232, 0.935], [0.610, 0.115, 0.302], [0.667, 0.741, 0.436], [0.741, 0.667, 0.936], [0.768, 0.456, 0.565], [0.826, 0.958, 0.066], [0.885, 0.390, 0.198], [0.958, 0.826, 0.566]],
  "total_energy_ev_per_cell": -244.60,
  "sg": "No. 15",
  "n_ef_per_ev_cell": 0.0
}

=====

# 20
{
  "formula": "CaAl8Co2",
  "functional": "PBEsol",
  "state": "relaxed",
  "cell": [[12.367, 0.000, 0.000], [0.000, 14.354, 0.000], [0.000, 0.000, 3.921]],
  "species": ["Ca", "Ca", "Ca", "Ca", "Al", "Al", "Al", "Al", "Al", "Al", "Al", "Al", "Al", "Al", "Al", "Al", "Al", "Al", "Al", "Al", "Al", "Al", "Al", "Al", "Al", "Al", "Al", "Al", "Al", "Al", "Al", "Al", "Al", "Al", "Al", "Al", "Co", "Co", "Co", "Co", "Co", "Co", "Co", "Co"],
  "frac_coords": [[0.159, 0.181, 0.000], [0.341, 0.681, 0.000], [0.659, 0.319, 0.000], [0.841, 0.819, 0.000], [0.000, 0.000, 0.000], [0.000, 0.500, 0.500], [0.025, 0.867, 0.500], [0.048, 0.320, 0.500], [0.096, 0.746, 0.000], [0.161, 0.455, 0.000], [0.161, 0.619, 0.500], [0.168, 0.008, 0.500], [0.236, 0.827, 0.500], [0.264, 0.327, 0.500], [0.332, 0.508, 0.500], [0.339, 0.119, 0.500], [0.339, 0.955, 0.000], [0.404, 0.246, 0.000], [0.452, 0.820, 0.500], [0.475, 0.367, 0.500], [0.500, 0.000, 0.500], [0.500, 0.500, 0.000], [0.525, 0.633, 0.500], [0.548, 0.180, 0.500], [0.596, 0.754, 0.000], [0.661, 0.045, 0.000], [0.661, 0.881, 0.500], [0.668, 0.492, 0.500], [0.736, 0.673, 0.500], [0.764, 0.173, 0.500], [0.832, 0.992, 0.500], [0.839, 0.381, 0.500], [0.839, 0.545, 0.000], [0.904, 0.254, 0.000], [0.952, 0.680, 0.500], [0.975, 0.133, 0.500], [0.034, 0.593, 0.000], [0.150, 0.902, 0.000], [0.350, 0.402, 0.000], [0.466, 0.093, 0.000], [0.534, 0.907, 0.000], [0.650, 0.598, 0.000], [0.850, 0.098, 0.000], [0.966, 0.407, 0.000]],
  "e_form_mev_per_atom": -427,
  "sg": "No. 55",
  "n_ef_per_ev_cell": 10.7
}